Record 1
# LiPtSe2N, optimized geometry, DFT PBE
# offset from the most stable computed form: 0.766 eV per atom
# D(E_F): 4.3 states/eV/f.u.
# ρ: 8.06 g/cm³
data_LiPtSe2N
_space_group_name_H-M_alt 'P 4/m m m'
_space_group_IT_number 123
_space_group_name_Hall '-P 4 2'
_cell_length_a 4.7498
_cell_length_b 4.7498
_cell_length_c 3.4153
_cell_angle_alpha 90.00
_cell_angle_beta 90.00
_cell_angle_gamma 90.00
loop_
_atom_site_label
_atom_site_type_symbol
_atom_site_fract_x
_atom_site_fract_y
_atom_site_fract_z
_atom_site_occupancy
Li1 Li 0.0000 0.0000 0.0000 1
Pt1 Pt 0.5000 0.5000 0.5000 1
Se1 Se 0.0000 0.5000 0.0000 1
N1 N 0.0000 0.0000 0.5000 1

Record 2
# LiPtSeN2, optimized geometry, DFT PBE
# offset from the most stable computed form: 0.932 eV per atom
# D(E_F): 4.4 states/eV/f.u.
# ρ: 7.67 g/cm³
data_LiPtSeN2
_space_group_name_H-M_alt 'P 4/m m m'
_space_group_IT_number 123
_space_group_name_Hall '-P 4 2'
_cell_length_a 3.6791
_cell_length_b 3.6791
_cell_length_c 4.9396
_cell_angle_alpha 90.00
_cell_angle_beta 90.00
_cell_angle_gamma 90.00
loop_
_atom_site_label
_atom_site_type_symbol
_atom_site_fract_x
_atom_site_fract_y
_atom_site_fract_z
_atom_site_occupancy
Li1 Li 0.0000 0.0000 0.0000 1
Pt1 Pt 0.5000 0.5000 0.5000 1
Se1 Se 0.0000 0.0000 0.5000 1
N1 N 0.0000 0.5000 0.0000 1

Record 3
# LiPtSeN2, optimized geometry, DFT PBE
# offset from the most stable computed form: 0.000 eV per atom
# D(E_F): 3.4 states/eV/f.u.
# ρ: 6.28 g/cm³
data_LiPtSeN2
_space_group_name_H-M_alt 'P 4/m m m'
_space_group_IT_number 123
_space_group_name_Hall '-P 4 2'
_cell_length_a 3.8104
_cell_length_b 3.8104
_cell_length_c 5.6290
_cell_angle_alpha 90.00
_cell_angle_beta 90.00
_cell_angle_gamma 90.00
loop_
_atom_site_label
_atom_site_type_symbol
_atom_site_fract_x
_atom_site_fract_y
_atom_site_fract_z
_atom_site_occupancy
Li1 Li 0.0000 0.0000 0.0000 1
Pt1 Pt 0.5000 0.5000 0.5000 1
Se1 Se 0.5000 0.5000 0.0000 1
N1 N 0.0000 0.5000 0.5000 1

Record 4
# Sr2LiPtN, optimized geometry, DFT PBE
# offset from the most stable computed form: 0.000 eV per atom
# D(E_F): 1.0 states/eV/f.u.
# ρ: 6.02 g/cm³
data_Sr2LiPtN
_space_group_name_H-M_alt 'P 4/m m m'
_space_group_IT_number 123
_space_group_name_Hall '-P 4 2'
_cell_length_a 5.2218
_cell_length_b 5.2218
_cell_length_c 3.9559
_cell_angle_alpha 90.00
_cell_angle_beta 90.00
_cell_angle_gamma 90.00
loop_
_atom_site_label
_atom_site_type_symbol
_atom_site_fract_x
_atom_site_fract_y
_atom_site_fract_z
_atom_site_occupancy
Sr1 Sr 0.0000 0.5000 0.0000 1
Li1 Li 0.0000 0.0000 0.5000 1
Pt1 Pt 0.5000 0.5000 0.5000 1
N1 N 0.0000 0.0000 0.0000 1

Record 5
# Sr2LiPtN, optimized geometry, DFT PBE
# offset from the most stable computed form: 0.180 eV per atom
# D(E_F): 2.8 states/eV/f.u.
# ρ: 5.54 g/cm³
data_Sr2LiPtN
_space_group_name_H-M_alt 'P 4/m m m'
_space_group_IT_number 123
_space_group_name_Hall '-P 4 2'
_cell_length_a 5.4710
_cell_length_b 5.4710
_cell_length_c 3.9178
_cell_angle_alpha 90.00
_cell_angle_beta 90.00
_cell_angle_gamma 90.00
loop_
_atom_site_label
_atom_site_type_symbol
_atom_site_fract_x
_atom_site_fract_y
_atom_site_fract_z
_atom_site_occupancy
Sr1 Sr 0.0000 0.5000 0.0000 1
Li1 Li 0.0000 0.0000 0.5000 1
Pt1 Pt 0.5000 0.5000 0.5000 1
N1 N 0.5000 0.5000 0.0000 1

Record 6
# LiTa2PtN, optimized geometry, DFT PBE
# D(E_F): 3.8 states/eV/f.u.
# ρ: 13.94 g/cm³
data_LiTa2PtN
_space_group_name_H-M_alt 'P 4/m m m'
_space_group_IT_number 123
_space_group_name_Hall '-P 4 2'
_cell_length_a 4.2167
_cell_length_b 4.2167
_cell_length_c 3.8729
_cell_angle_alpha 90.00
_cell_angle_beta 90.00
_cell_angle_gamma 90.00
loop_
_atom_site_label
_atom_site_type_symbol
_atom_site_fract_x
_atom_site_fract_y
_atom_site_fract_z
_atom_site_occupancy
Li1 Li 0.0000 0.0000 0.0000 1
Ta1 Ta 0.0000 0.5000 0.5000 1
Pt1 Pt 0.5000 0.5000 0.0000 1
N1 N 0.0000 0.0000 0.5000 1

Record 7
# LiTePtN2, optimized geometry, DFT PBE
# offset from the most stable computed form: 0.000 eV per atom
# D(E_F): 3.9 states/eV/f.u.
# ρ: 6.68 g/cm³
data_LiTePtN2
_space_group_name_H-M_alt 'P 4/m m m'
_space_group_IT_number 123
_space_group_name_Hall '-P 4 2'
_cell_length_a 3.8569
_cell_length_b 3.8569
_cell_length_c 5.9728
_cell_angle_alpha 90.00
_cell_angle_beta 90.00
_cell_angle_gamma 90.00
loop_
_atom_site_label
_atom_site_type_symbol
_atom_site_fract_x
_atom_site_fract_y
_atom_site_fract_z
_atom_site_occupancy
Li1 Li 0.0000 0.0000 0.0000 1
Te1 Te 0.5000 0.5000 0.0000 1
Pt1 Pt 0.5000 0.5000 0.5000 1
N1 N 0.0000 0.5000 0.5000 1

Record 8
# LiTe2PtN, optimized geometry, DFT PBE
# offset from the most stable computed form: 0.651 eV per atom
# D(E_F): 3.3 states/eV/f.u.
# ρ: 8.91 g/cm³
data_LiTe2PtN
_space_group_name_H-M_alt 'P 4/m m m'
_space_group_IT_number 123
_space_group_name_Hall '-P 4 2'
_cell_length_a 5.0984
_cell_length_b 5.0984
_cell_length_c 3.3768
_cell_angle_alpha 90.00
_cell_angle_beta 90.00
_cell_angle_gamma 90.00
loop_
_atom_site_label
_atom_site_type_symbol
_atom_site_fract_x
_atom_site_fract_y
_atom_site_fract_z
_atom_site_occupancy
Li1 Li 0.0000 0.0000 0.0000 1
Te1 Te 0.0000 0.5000 0.0000 1
Pt1 Pt 0.5000 0.5000 0.5000 1
N1 N 0.0000 0.0000 0.5000 1

Record 9
# LiTePtN2, optimized geometry, DFT PBE
# offset from the most stable computed form: 0.810 eV per atom
# D(E_F): 3.3 states/eV/f.u.
# ρ: 7.48 g/cm³
data_LiTePtN2
_space_group_name_H-M_alt 'P 4/m m m'
_space_group_IT_number 123
_space_group_name_Hall '-P 4 2'
_cell_length_a 3.8131
_cell_length_b 3.8131
_cell_length_c 5.4635
_cell_angle_alpha 90.00
_cell_angle_beta 90.00
_cell_angle_gamma 90.00
loop_
_atom_site_label
_atom_site_type_symbol
_atom_site_fract_x
_atom_site_fract_y
_atom_site_fract_z
_atom_site_occupancy
Li1 Li 0.0000 0.0000 0.0000 1
Te1 Te 0.0000 0.0000 0.5000 1
Pt1 Pt 0.5000 0.5000 0.5000 1
N1 N 0.0000 0.5000 0.0000 1

Record 10
# LiTe2PtN, optimized geometry, DFT PBE
# offset from the most stable computed form: 0.000 eV per atom
# D(E_F): 3.5 states/eV/f.u.
# ρ: 6.53 g/cm³
data_LiTe2PtN
_space_group_name_H-M_alt 'P 4/m m m'
_space_group_IT_number 123
_space_group_name_Hall '-P 4 2'
_cell_length_a 5.7238
_cell_length_b 5.7238
_cell_length_c 3.6600
_cell_angle_alpha 90.00
_cell_angle_beta 90.00
_cell_angle_gamma 90.00
loop_
_atom_site_label
_atom_site_type_symbol
_atom_site_fract_x
_atom_site_fract_y
_atom_site_fract_z
_atom_site_occupancy
Li1 Li 0.0000 0.0000 0.0000 1
Te1 Te 0.0000 0.5000 0.5000 1
Pt1 Pt 0.5000 0.5000 0.5000 1
N1 N 0.5000 0.5000 0.0000 1

Record 11
# LiThPtN, optimized geometry, DFT PBE
# ρ: 10.26 g/cm³
data_LiThPtN
_space_group_name_H-M_alt 'P 4/n m m'
_space_group_IT_number 129
_cell_length_a 4.0281
_cell_length_b 4.0281
_cell_length_c 8.9409
_cell_angle_alpha 90.00
_cell_angle_beta 90.00
_cell_angle_gamma 90.00
loop_
_space_group_symop_operation_xyz
'x,y,z'
'-x,-y,-z'
'-y+1/2,x,z'
'y+1/2,-x,-z'
'-x+1/2,-y+1/2,z'
'x+1/2,y+1/2,-z'
'y,-x+1/2,z'
'-y,x+1/2,-z'
'x+1/2,-y,-z'
'-x+1/2,y,z'
'-y,-x,-z'
'y,x,z'
'-x,y+1/2,-z'
'x,-y+1/2,z'
'y+1/2,x+1/2,-z'
'-y+1/2,-x+1/2,z'
loop_
_atom_site_label
_atom_site_type_symbol
_atom_site_fract_x
_atom_site_fract_y
_atom_site_fract_z
_atom_site_occupancy
Li1 Li 0.2500 0.7500 0.0000 1
Th1 Th 0.2500 0.2500 0.3656 1
Pt1 Pt 0.2500 0.2500 0.8141 1
N1 N 0.2500 0.7500 0.5000 1

Record 12
# Li5Th2Pt3N2, optimized geometry, DFT PBE
# D(E_F): 6.9 states/eV/f.u.
# ρ: 9.14 g/cm³
data_Li5Th2Pt3N2
_space_group_name_H-M_alt 'I 4/m m m'
_space_group_IT_number 139
_space_group_name_Hall '-I 4 2'
_cell_length_a 4.1815
_cell_length_b 4.1815
_cell_length_c 23.1140
_cell_angle_alpha 90.00
_cell_angle_beta 90.00
_cell_angle_gamma 90.00
loop_
_atom_site_label
_atom_site_type_symbol
_atom_site_fract_x
_atom_site_fract_y
_atom_site_fract_z
_atom_site_occupancy
Li1 Li 0.0000 0.0000 0.0000 1
Li2 Li 0.0000 0.5000 0.0740 1
Th1 Th 0.0000 0.0000 0.1856 1
Pt1 Pt 0.0000 0.0000 0.3194 1
Pt2 Pt 0.0000 0.0000 0.5000 1
N1 N 0.0000 0.0000 0.0954 1

Record 13
# LiTi2PtN, optimized geometry, DFT PBE
# D(E_F): 2.2 states/eV/f.u.
# ρ: 8.02 g/cm³
data_LiTi2PtN
_space_group_name_H-M_alt 'P 4/m m m'
_space_group_IT_number 123
_space_group_name_Hall '-P 4 2'
_cell_length_a 4.0961
_cell_length_b 4.0961
_cell_length_c 3.8480
_cell_angle_alpha 90.00
_cell_angle_beta 90.00
_cell_angle_gamma 90.00
loop_
_atom_site_label
_atom_site_type_symbol
_atom_site_fract_x
_atom_site_fract_y
_atom_site_fract_z
_atom_site_occupancy
Li1 Li 0.0000 0.0000 0.0000 1
Ti1 Ti 0.0000 0.5000 0.5000 1
Pt1 Pt 0.5000 0.5000 0.0000 1
N1 N 0.0000 0.0000 0.5000 1

Record 14
# LiVPtN2, optimized geometry, DFT PBE
# D(E_F): 8.2 states/eV/f.u.
# ρ: 6.11 g/cm³
data_LiVPtN2
_space_group_name_H-M_alt 'P 4/m m m'
_space_group_IT_number 123
_space_group_name_Hall '-P 4 2'
_cell_length_a 3.9070
_cell_length_b 3.9070
_cell_length_c 4.9988
_cell_angle_alpha 90.00
_cell_angle_beta 90.00
_cell_angle_gamma 90.00
loop_
_atom_site_label
_atom_site_type_symbol
_atom_site_fract_x
_atom_site_fract_y
_atom_site_fract_z
_atom_site_occupancy
Li1 Li 0.0000 0.0000 0.0000 1
V1 V 0.5000 0.5000 0.0000 1
Pt1 Pt 0.5000 0.5000 0.5000 1
N1 N 0.0000 0.5000 0.5000 1

Record 15
# LiV2PtN, optimized geometry, DFT PBE
# offset from the most stable computed form: 0.000 eV per atom
# D(E_F): 4.3 states/eV/f.u.
# ρ: 8.79 g/cm³
data_LiV2PtN
_space_group_name_H-M_alt 'P 4/m m m'
_space_group_IT_number 123
_space_group_name_Hall '-P 4 2'
_cell_length_a 3.9075
_cell_length_b 3.9075
_cell_length_c 3.9320
_cell_angle_alpha 90.00
_cell_angle_beta 90.00
_cell_angle_gamma 90.00
loop_
_atom_site_label
_atom_site_type_symbol
_atom_site_fract_x
_atom_site_fract_y
_atom_site_fract_z
_atom_site_occupancy
Li1 Li 0.0000 0.0000 0.0000 1
V1 V 0.0000 0.5000 0.5000 1
Pt1 Pt 0.5000 0.5000 0.0000 1
N1 N 0.0000 0.0000 0.5000 1

Record 16
# LiV2PtN, optimized geometry, DFT PBE
# offset from the most stable computed form: 1.503 eV per atom
# D(E_F): 4.4 states/eV/f.u.
# ρ: 8.64 g/cm³
data_LiV2PtN
_space_group_name_H-M_alt 'P 4/m m m'
_space_group_IT_number 123
_space_group_name_Hall '-P 4 2'
_cell_length_a 4.3864
_cell_length_b 4.3864
_cell_length_c 3.1740
_cell_angle_alpha 90.00
_cell_angle_beta 90.00
_cell_angle_gamma 90.00
loop_
_atom_site_label
_atom_site_type_symbol
_atom_site_fract_x
_atom_site_fract_y
_atom_site_fract_z
_atom_site_occupancy
Li1 Li 0.0000 0.0000 0.0000 1
V1 V 0.0000 0.5000 0.0000 1
Pt1 Pt 0.5000 0.5000 0.5000 1
N1 N 0.0000 0.0000 0.5000 1

Record 17
# LiPuN2, optimized geometry, DFT PBE
# offset from the most stable computed form: 0.202 eV per atom
# D(E_F): 4.8 states/eV/f.u.
# ρ: 9.33 g/cm³
data_LiPuN2
_space_group_name_H-M_alt 'P m m n'
_space_group_IT_number 59
_cell_length_a 3.4020
_cell_length_b 5.6368
_cell_length_c 5.1772
_cell_angle_alpha 90.00
_cell_angle_beta 90.00
_cell_angle_gamma 90.00
loop_
_space_group_symop_operation_xyz
'x,y,z'
'-x,-y,-z'
'-x+1/2,-y+1/2,z'
'x+1/2,y+1/2,-z'
'x+1/2,-y,-z'
'-x+1/2,y,z'
'-x,y+1/2,-z'
'x,-y+1/2,z'
loop_
_atom_site_label
_atom_site_type_symbol
_atom_site_fract_x
_atom_site_fract_y
_atom_site_fract_z
_atom_site_occupancy
Li1 Li 0.2500 0.2500 0.1071 1
Pu1 Pu 0.2500 0.7500 0.3856 1
N1 N 0.2500 0.0043 0.7130 1

Record 18
# LiPuN2, optimized geometry, DFT PBE
# offset from the most stable computed form: 0.788 eV per atom
# D(E_F): 3.6 states/eV/f.u.
# ρ: 9.71 g/cm³
data_LiPuN2
_space_group_name_H-M_alt 'P 4/m m m'
_space_group_IT_number 123
_space_group_name_Hall '-P 4 2'
_cell_length_a 2.8702
_cell_length_b 2.8702
_cell_length_c 5.7900
_cell_angle_alpha 90.00
_cell_angle_beta 90.00
_cell_angle_gamma 90.00
loop_
_atom_site_label
_atom_site_type_symbol
_atom_site_fract_x
_atom_site_fract_y
_atom_site_fract_z
_atom_site_occupancy
Li1 Li 0.0000 0.0000 0.0000 1
Pu1 Pu 0.0000 0.0000 0.5000 1
N1 N 0.5000 0.5000 0.2788 1

Record 19
# LiPu2N3, optimized geometry, DFT PBE
# D(E_F): 11.6 states/eV/f.u.
# ρ: 10.72 g/cm³
data_LiPu2N3
_space_group_name_H-M_alt 'I m m m'
_space_group_IT_number 71
_space_group_name_Hall '-I 2 2'
_cell_length_a 3.5147
_cell_length_b 4.3647
_cell_length_c 10.8473
_cell_angle_alpha 90.00
_cell_angle_beta 90.00
_cell_angle_gamma 90.00
loop_
_atom_site_label
_atom_site_type_symbol
_atom_site_fract_x
_atom_site_fract_y
_atom_site_fract_z
_atom_site_occupancy
Li1 Li 0.0000 0.0000 0.0000 1
Pu1 Pu 0.0000 0.0000 0.3460 1
N1 N 0.0000 0.5000 0.0000 1
N2 N 0.0000 0.5000 0.2919 1

Record 20
# Li3PuN3, optimized geometry, DFT PBE
# offset from the most stable computed form: 0.113 eV per atom
# D(E_F): 6.1 states/eV/f.u.
# ρ: 6.44 g/cm³
data_Li3PuN3
_space_group_name_H-M_alt 'R -3'
_space_group_IT_number 148
_space_group_name_Hall '-R 3'
_cell_length_a 5.9538
_cell_length_b 5.9538
_cell_length_c 15.4729
_cell_angle_alpha 90.00
_cell_angle_beta 90.00
_cell_angle_gamma 120.00
loop_
_atom_site_label
_atom_site_type_symbol
_atom_site_fract_x
_atom_site_fract_y
_atom_site_fract_z
_atom_site_occupancy
Li1 Li 0.0232 0.2842 0.1216 1
Pu1 Pu 0.0000 0.0000 0.3312 1
N1 N 0.0055 0.3893 0.9243 1

Number 1: formation energy (no corrections) 483 kJ/mol of formula units. Number 2: formation energy (no corrections) 834 kJ/mol of formula units. Number 3: formation energy (no corrections) 384 kJ/mol of formula units. Number 4: formation energy (no corrections) -272 kJ/mol of formula units. Number 5: formation energy (no corrections) -185 kJ/mol of formula units. Number 6: formation energy (no corrections) -339 kJ/mol of formula units. Number 7: formation energy (no corrections) 420 kJ/mol of formula units. Number 8: formation energy (no corrections) 397 kJ/mol of formula units. Number 9: formation energy (no corrections) 811 kJ/mol of formula units. Number 10: formation energy (no corrections) 82 kJ/mol of formula units. Number 11: formation energy (no corrections) -403 kJ/mol of formula units. Number 12: formation energy (no corrections) -833 kJ/mol of formula units. Number 13: formation energy (no corrections) -484 kJ/mol of formula units. Number 14: formation energy (no corrections) 782 kJ/mol of formula units. Number 15: formation energy (no corrections) -300 kJ/mol of formula units. Number 16: formation energy (no corrections) 425 kJ/mol of formula units. Number 17: formation energy (no corrections) -300 kJ/mol of formula units. Number 18: formation energy (no corrections) -74 kJ/mol of formula units. Number 19: formation energy (no corrections) -627 kJ/mol of formula units. Number 20: formation energy (no corrections) -469 kJ/mol of formula units.